Record 1
The following is a GGA-PBE calculation of a geometry-optimized AlPtCl4 structure, from Alexandria.

The structure in POSCAR format:
```
AlPtCl4
1.0
0.000 4.050 4.050
4.050 0.000 4.050
4.050 4.050 0.000
Cl Al Pt
4 1 1
direct
0.874 0.375 0.375
0.375 0.375 0.375
0.375 0.375 0.874
0.375 0.874 0.375
0.000 0.000 0.000
0.750 0.750 0.750
```

Computed properties:
The calculation puts the formation energy (no corrections) at 0.94 eV per atom. The value obtained for the density of states at the Fermi level is 9.1 states/eV/f.u. The energy is -11.51 eV for the cell shown.

Record 2
The following is a GGA-PBE calculation of a geometry-optimized KScSnBr6 structure, from Alexandria.

The structure in POSCAR format:
```
KScSnBr6
1.0
-2.083 6.010 3.804
-2.072 -6.737 2.291
11.734 -0.927 7.889
Br Sn K Sc
12 2 2 2
direct
0.968 0.617 0.361
0.617 0.968 0.861
0.350 0.968 0.639
0.650 0.032 0.361
0.032 0.383 0.639
0.968 0.350 0.139
0.032 0.650 0.861
0.650 0.617 0.139
0.383 0.350 0.361
0.350 0.383 0.861
0.383 0.032 0.139
0.617 0.650 0.639
0.667 0.333 0.750
0.333 0.667 0.250
0.000 0.000 0.500
0.000 0.000 0.000
0.667 0.333 0.250
0.333 0.667 0.750
```

Computed properties:
The calculation puts the formation energy (no corrections) at -1.42 eV per atom. The value obtained for the density of states at the Fermi level is 0.0 states/eV/f.u. The energy is -68.54 eV for the cell shown.

Record 3
The following is a GGA-PBE calculation of a geometry-optimized CdAsW2 structure, from Alexandria.

The structure in POSCAR format:
```
CdAsW2
1.0
5.397 0.011 0.034
-2.465 4.754 -0.016
0.466 0.825 2.680
W Cd As
2 1 1
direct
0.500 0.000 0.500
0.000 0.000 0.000
0.500 0.500 0.000
0.000 0.500 0.500
```

Computed properties:
The value obtained for the formation energy from the elements is 0.742 eV per atom. The value obtained for the density of states at the Fermi level is 2.6 states/eV/f.u. The energy is -28.50 eV for the cell shown. As for the energy relative to the lowest polymorph listed for this composition: 0.406 eV per atom.

Record 4
The following is a GGA-PBE calculation of a geometry-optimized Ac12Co5Sn structure, from Alexandria.

The structure in POSCAR format:
```
Ac12Co5Sn
1.0
-6.850 0.030 6.074
2.677 -8.607 -1.600
7.152 4.692 3.262
Ac Co Sn
12 5 1
direct
0.124 0.813 0.311
0.185 0.376 0.190
0.815 0.005 0.190
0.313 0.319 0.632
0.502 0.813 0.689
0.687 0.319 0.006
0.815 0.624 0.810
0.313 0.681 0.994
0.185 0.995 0.810
0.876 0.187 0.689
0.687 0.681 0.368
0.498 0.187 0.311
0.385 0.385 0.000
0.000 0.000 0.000
0.500 0.891 0.391
0.615 0.615 0.000
0.500 0.109 0.609
0.000 0.500 0.500
```

Computed properties:
The value obtained for the formation energy from the elements is -0.099 eV per atom. The value obtained for the density of states at the Fermi level is 15.4 states/eV/f.u. The energy is -90.61 eV for the cell shown.